1.
Material: IrAu2Br
Method: DFT, GGA-PBE
State: relaxed

Computed properties:
Calculated density (g cm⁻³): 13.6
D(E_F) (states/eV per cell): 2.6
Distance to the lowest polymorph of the same formula (kJ per mole of atoms): 1.3
Raw formation energy (eV per atom): 0.465

```
data_IrAu2Br
_space_group_name_H-M_alt 'P 1 m 1'
_space_group_IT_number 6
_space_group_name_Hall 'P -2y'
_cell_length_a 2.9417
_cell_length_b 3.6174
_cell_length_c 7.6183
_cell_angle_alpha 90.00
_cell_angle_beta 90.22
_cell_angle_gamma 90.00
loop_
_atom_site_label
_atom_site_fract_x
_atom_site_fract_y
_atom_site_fract_z
Ir1 0.0000 0.0000 0.0000
Au1 0.4971 0.5000 0.7907
Au2 0.9948 0.0000 0.5745
Br1 0.0022 0.5000 0.2158
```


2.
Material: IrAu2Br
Method: DFT, GGA-PBE
State: relaxed

Computed properties:
Calculated density (g cm⁻³): 14.0
D(E_F) (states/eV per cell): 6.1
Distance to the lowest polymorph of the same formula (kJ per mole of atoms): 11.7
Raw formation energy (eV per atom): 0.572

```
data_IrAu2Br
_space_group_name_H-M_alt 'I m m m'
_space_group_IT_number 71
_space_group_name_Hall '-I 2 2'
_cell_length_a 2.8847
_cell_length_b 4.4674
_cell_length_c 12.2891
_cell_angle_alpha 90.00
_cell_angle_beta 90.00
_cell_angle_gamma 90.00
loop_
_atom_site_label
_atom_site_fract_x
_atom_site_fract_y
_atom_site_fract_z
Ir1 0.0000 0.0000 0.0000
Au1 0.0000 0.5000 0.3004
Br1 0.0000 0.0000 0.5000
```


3.
Material: IrAu2Br
Method: DFT, GGA-PBE
State: relaxed

Computed properties:
Calculated density (g cm⁻³): 14.4
D(E_F) (states/eV per cell): 3.2
Distance to the lowest polymorph of the same formula (kJ per mole of atoms): 31.8
Raw formation energy (eV per atom): 0.781

```
data_IrAu2Br
_space_group_name_H-M_alt 'P 4/m m m'
_space_group_IT_number 123
_space_group_name_Hall '-P 4 2'
_cell_length_a 5.3662
_cell_length_b 5.3662
_cell_length_c 2.6657
_cell_angle_alpha 90.00
_cell_angle_beta 90.00
_cell_angle_gamma 90.00
loop_
_atom_site_label
_atom_site_fract_x
_atom_site_fract_y
_atom_site_fract_z
Ir1 0.0000 0.0000 0.0000
Au1 0.0000 0.5000 0.5000
Br1 0.5000 0.5000 0.0000
```


4.
Material: IrAu2Br
Method: DFT, GGA-PBE
State: relaxed

Computed properties:
Calculated density (g cm⁻³): 15.0
D(E_F) (states/eV per cell): 3.5
Distance to the lowest polymorph of the same formula (kJ per mole of atoms): 36.5
Raw formation energy (eV per atom): 0.830

```
data_IrAu2Br
_space_group_name_H-M_alt 'P 4/m m m'
_space_group_IT_number 123
_space_group_name_Hall '-P 4 2'
_cell_length_a 3.9660
_cell_length_b 3.9660
_cell_length_c 4.6880
_cell_angle_alpha 90.00
_cell_angle_beta 90.00
_cell_angle_gamma 90.00
loop_
_atom_site_label
_atom_site_fract_x
_atom_site_fract_y
_atom_site_fract_z
Ir1 0.0000 0.0000 0.0000
Au1 0.0000 0.5000 0.5000
Br1 0.5000 0.5000 0.0000
```


5.
Material: IrAu2Br
Method: DFT, GGA-PBE
State: relaxed

Computed properties:
Calculated density (g cm⁻³): 14.6
D(E_F) (states/eV per cell): 4.6
Distance to the lowest polymorph of the same formula (kJ per mole of atoms): 17.2
Raw formation energy (eV per atom): 0.629

```
data_IrAu2Br
_space_group_name_H-M_alt 'P 4 m m'
_space_group_IT_number 99
_space_group_name_Hall 'P 4 -2'
_cell_length_a 2.9997
_cell_length_b 2.9997
_cell_length_c 8.4442
_cell_angle_alpha 90.00
_cell_angle_beta 90.00
_cell_angle_gamma 90.00
loop_
_atom_site_label
_atom_site_fract_x
_atom_site_fract_y
_atom_site_fract_z
Ir1 0.0000 0.0000 0.0000
Au1 0.0000 0.0000 0.4597
Au2 0.5000 0.5000 0.2240
Br1 0.5000 0.5000 0.7882
```


6.
Material: IrAuBr
Method: DFT, GGA-PBE
State: relaxed

Computed properties:
Calculated density (g cm⁻³): 13.4
D(E_F) (states/eV per cell): 9.4
Distance to the lowest polymorph of the same formula (kJ per mole of atoms): 19.2
Raw formation energy (eV per atom): 0.853

```
data_IrAuBr
_space_group_name_H-M_alt 'I 4 m m'
_space_group_IT_number 107
_space_group_name_Hall 'I 4 -2'
_cell_length_a 3.0445
_cell_length_b 3.0445
_cell_length_c 12.5878
_cell_angle_alpha 90.00
_cell_angle_beta 90.00
_cell_angle_gamma 90.00
loop_
_atom_site_label
_atom_site_fract_x
_atom_site_fract_y
_atom_site_fract_z
Ir1 0.0000 0.0000 0.0000
Au1 0.0000 0.0000 0.3559
Br1 0.0000 0.0000 0.6377
```


7.
Material: IrAuBr
Method: DFT, GGA-PBE
State: relaxed

Computed properties:
Calculated density (g cm⁻³): 11.9
D(E_F) (states/eV per cell): 3.9
Distance to the lowest polymorph of the same formula (kJ per mole of atoms): 0.0
Raw formation energy (eV per atom): 0.654

```
data_IrAuBr
_space_group_name_H-M_alt 'P 3 m 1'
_space_group_IT_number 156
_space_group_name_Hall 'P 3 -2"'
_cell_length_a 3.6652
_cell_length_b 3.6652
_cell_length_c 5.6407
_cell_angle_alpha 90.00
_cell_angle_beta 90.00
_cell_angle_gamma 120.00
loop_
_atom_site_label
_atom_site_fract_x
_atom_site_fract_y
_atom_site_fract_z
Ir1 0.0000 0.0000 0.0000
Au1 0.6667 0.3333 0.2838
Br1 0.3333 0.6667 0.7595
```


8.
Material: IrAu2Br
Method: DFT, GGA-PBE
State: relaxed

Computed properties:
Calculated density (g cm⁻³): 14.9
D(E_F) (states/eV per cell): 8.3
Distance to the lowest polymorph of the same formula (kJ per mole of atoms): 40.0
Raw formation energy (eV per atom): 0.865

```
data_IrAu2Br
_space_group_name_H-M_alt 'I 4/m m m'
_space_group_IT_number 139
_space_group_name_Hall '-I 4 2'
_cell_length_a 3.9840
_cell_length_b 3.9840
_cell_length_c 9.3276
_cell_angle_alpha 90.00
_cell_angle_beta 90.00
_cell_angle_gamma 90.00
loop_
_atom_site_label
_atom_site_fract_x
_atom_site_fract_y
_atom_site_fract_z
Ir1 0.0000 0.0000 0.0000
Au1 0.0000 0.5000 0.2500
Br1 0.0000 0.0000 0.5000
```